# 1
## TlP12Pd4 (GGA-PBE)

Data for a relaxed structure of TlP12Pd4.

a b c (Å): 7.1890 7.1890 7.1890
angles (deg): 109.47 109.47 109.47
Positions (direct):
Tl1 0.0000 0.0000 0.0000
P1 0.1344 0.5002 0.3659
P2 0.1344 0.7685 0.6341
P3 0.2315 0.3659 0.8656
P4 0.3659 0.1344 0.5002
P5 0.3659 0.8656 0.2315
P6 0.5002 0.3659 0.1344
P7 0.4998 0.6341 0.8656
P8 0.6341 0.1344 0.7685
P9 0.6341 0.8656 0.4998
P10 0.7685 0.6341 0.1344
P11 0.8656 0.2315 0.3659
P12 0.8656 0.4998 0.6341
Pd1 0.0000 0.0000 0.5000
Pd2 0.0000 0.5000 0.0000
Pd3 0.5000 0.0000 0.0000
Pd4 0.5000 0.5000 0.5000

## Properties
* D(E_F): 0.476 states/eV per atom
* total DFT energy (no corrections): -91.7 eV/f.u.
* energy of formation: -215 meV/atom
* symmetry: Im-3, No. 204

***

# 2
## TlP2Pd2 (GGA-PBE)

Data for a relaxed structure of TlP2Pd2.

a b c (Å): 6.0239 6.0239 6.0239
angles (deg): 137.37 137.37 61.87
Positions (direct):
Tl1 0.0000 0.0000 0.0000
P1 0.2500 0.7500 0.5000
P2 0.7500 0.2500 0.5000
Pd1 0.3510 0.3510 0.0000
Pd2 0.6490 0.6490 0.0000

## Properties
* D(E_F): 0.336 states/eV per atom
* total DFT energy (no corrections): -24.0 eV/f.u.
* energy relative to the lowest polymorph listed for this composition: 109 meV/atom
* energy of formation: -83 meV/atom
* symmetry: I4/mmm, No. 139

***

# 3
## TlP6Pd12 (GGA-PBE)

Data for a relaxed structure of TlP6Pd12.

a b c (Å): 7.1009 7.1009 7.1009
angles (deg): 104.67 104.67 104.67
Positions (direct):
Tl1 0.0000 0.0000 0.0000
P1 0.2393 0.2393 0.6687
P2 0.2393 0.6687 0.2393
P3 0.3313 0.7607 0.7607
P4 0.6687 0.2393 0.2393
P5 0.7607 0.3313 0.7607
P6 0.7607 0.7607 0.3313
Pd1 0.1271 0.5000 0.8729
Pd2 0.1271 0.8729 0.5000
Pd3 0.1793 0.4489 0.4489
Pd4 0.4489 0.1793 0.4489
Pd5 0.4489 0.4489 0.1793
Pd6 0.5000 0.1271 0.8729
Pd7 0.5000 0.8729 0.1271
Pd8 0.5511 0.5511 0.8207
Pd9 0.5511 0.8207 0.5511
Pd10 0.8207 0.5511 0.5511
Pd11 0.8729 0.1271 0.5000
Pd12 0.8729 0.5000 0.1271

## Properties
* D(E_F): 0.351 states/eV per atom
* total DFT energy (no corrections): -104.2 eV/f.u.
* energy of formation: -374 meV/atom
* symmetry: R-3m, No. 166

***

# 4
## TlP3Pd (GGA-PBE)

Data for a relaxed structure of TlP3Pd.

a b c (Å): 4.7766 4.7766 4.7766
angles (deg): 90.00 90.00 90.00
Positions (direct):
Tl1 0.0000 0.0000 0.0000
P1 0.0000 0.5000 0.5000
P2 0.5000 0.0000 0.5000
P3 0.5000 0.5000 0.0000
Pd1 0.5000 0.5000 0.5000

## Properties
* D(E_F): 0.929 states/eV per atom
* total DFT energy (no corrections): -20.3 eV/f.u.
* energy relative to the lowest polymorph listed for this composition: 0 meV/atom
* energy of formation: 703 meV/atom
* symmetry: Pm-3m, No. 221